#1
DFT (PBE-GGA) results for a geometry-optimized VCoHg2 structure.

CIF file:
```
data_VCoHg2
_space_group_name_H-M_alt 'I -4 2 d'
_space_group_IT_number 122
_space_group_name_Hall 'I -4 2bw'
_cell_length_a 7.348
_cell_length_b 7.348
_cell_length_c 5.695
_cell_angle_alpha 90.00
_cell_angle_beta 90.00
_cell_angle_gamma 90.00
loop_
_atom_site_label
_atom_site_type_symbol
_atom_site_fract_x
_atom_site_fract_y
_atom_site_fract_z
V1 V 0.000 0.000 0.000
Co1 Co 0.000 0.000 0.500
Hg1 Hg 0.226 0.750 0.625
```

Values from the calculation:
Volume in Å³/cell: 307.48
Mass density in g/cm3: 11.0


#2
DFT (PBE-GGA) results for a geometry-optimized VCoHg2 structure.

CIF file:
```
data_VCoHg2
_space_group_name_H-M_alt 'F m -3 m'
_space_group_IT_number 225
_space_group_name_Hall '-F 4 2 3'
_cell_length_a 6.455
_cell_length_b 6.455
_cell_length_c 6.455
_cell_angle_alpha 90.00
_cell_angle_beta 90.00
_cell_angle_gamma 90.00
loop_
_atom_site_label
_atom_site_type_symbol
_atom_site_fract_x
_atom_site_fract_y
_atom_site_fract_z
V1 V 0.000 0.000 0.000
Co1 Co 0.000 0.000 0.500
Hg1 Hg 0.250 0.250 0.250
```

Values from the calculation:
Volume in Å³/cell: 268.95
Mass density in g/cm3: 12.6


Need the numbers? Relative energies in meV per atom: #1 290; #2 0.


#1
DFT (PBE-GGA) results for a geometry-optimized CoHgW structure.

CIF file:
```
data_CoHgW
_space_group_name_H-M_alt 'C 1 2/m 1'
_space_group_IT_number 12
_cell_length_a 11.484
_cell_length_b 3.029
_cell_length_c 5.796
_cell_angle_alpha 90.00
_cell_angle_beta 104.20
_cell_angle_gamma 90.00
loop_
_space_group_symop_operation_xyz
'x,y,z'
'-x,-y,-z'
'-x,y,-z'
'x,-y,z'
'x+1/2,y+1/2,z'
'-x+1/2,-y+1/2,-z'
'-x+1/2,y+1/2,-z'
'x+1/2,-y+1/2,z'
loop_
_atom_site_label
_atom_site_type_symbol
_atom_site_fract_x
_atom_site_fract_y
_atom_site_fract_z
Co1 Co 0.185 0.000 0.356
Hg1 Hg 0.000 0.500 0.000
Hg2 Hg 0.000 0.500 0.500
W1 W 0.193 0.000 0.833
```

Values from the calculation:
Volume in Å³/cell: 195.48
Mass density in g/cm3: 15.1


#2
DFT (PBE-GGA) results for a geometry-optimized CoHgW structure.

CIF file:
```
data_CoHgW
_space_group_name_H-M_alt 'F -4 3 m'
_space_group_IT_number 216
_space_group_name_Hall 'F -4 2 3'
_cell_length_a 5.900
_cell_length_b 5.900
_cell_length_c 5.900
_cell_angle_alpha 90.00
_cell_angle_beta 90.00
_cell_angle_gamma 90.00
loop_
_atom_site_label
_atom_site_type_symbol
_atom_site_fract_x
_atom_site_fract_y
_atom_site_fract_z
Co1 Co 0.000 0.000 0.000
Hg1 Hg 0.250 0.250 0.750
W1 W 0.250 0.250 0.250
```

Values from the calculation:
Volume in Å³/cell: 205.41
Mass density in g/cm3: 14.3


#3
DFT (PBE-GGA) results for a geometry-optimized CoHgW structure.

CIF file:
```
data_CoHgW
_space_group_name_H-M_alt 'P 1 21/m 1'
_space_group_IT_number 11
_cell_length_a 2.761
_cell_length_b 4.243
_cell_length_c 8.747
_cell_angle_alpha 90.00
_cell_angle_beta 95.37
_cell_angle_gamma 90.00
loop_
_space_group_symop_operation_xyz
'x,y,z'
'-x,-y,-z'
'-x,y+1/2,-z'
'x,-y+1/2,z'
loop_
_atom_site_label
_atom_site_type_symbol
_atom_site_fract_x
_atom_site_fract_y
_atom_site_fract_z
Co1 Co 0.055 0.250 0.171
Hg1 Hg 0.207 0.750 0.392
W1 W 0.379 0.250 0.913
```

Values from the calculation:
Volume in Å³/cell: 102.00
Mass density in g/cm3: 14.4


#4
DFT (PBE-GGA) results for a geometry-optimized CoHgW structure.

CIF file:
```
data_CoHgW
_space_group_name_H-M_alt 'I 4 m m'
_space_group_IT_number 107
_space_group_name_Hall 'I 4 -2'
_cell_length_a 2.835
_cell_length_b 2.835
_cell_length_c 11.700
_cell_angle_alpha 90.00
_cell_angle_beta 90.00
_cell_angle_gamma 90.00
loop_
_atom_site_label
_atom_site_type_symbol
_atom_site_fract_x
_atom_site_fract_y
_atom_site_fract_z
Co1 Co 0.000 0.000 0.000
Hg1 Hg 0.000 0.000 0.328
W1 W 0.000 0.000 0.631
```

Values from the calculation:
Volume in Å³/cell: 94.05
Mass density in g/cm3: 15.7


Need the numbers? Relative energies in meV per atom: #1 102; #2 396; #3 0; #4 54.


#1
DFT (PBE-GGA) results for a geometry-optimized CoHgW structure.

CIF file:
```
data_CoHgW
_space_group_name_H-M_alt 'P -1'
_space_group_IT_number 2
_cell_length_a 2.791
_cell_length_b 5.240
_cell_length_c 7.249
_cell_angle_alpha 70.22
_cell_angle_beta 89.71
_cell_angle_gamma 74.58
loop_
_space_group_symop_operation_xyz
'x,y,z'
'-x,-y,-z'
loop_
_atom_site_label
_atom_site_type_symbol
_atom_site_fract_x
_atom_site_fract_y
_atom_site_fract_z
Co1 Co 0.045 0.405 0.253
Hg1 Hg 0.348 0.814 0.383
W1 W 0.353 0.767 0.982
```

Values from the calculation:
Volume in Å³/cell: 95.74
Mass density in g/cm3: 15.4


#2
DFT (PBE-GGA) results for a geometry-optimized CoHgW structure.

CIF file:
```
data_CoHgW
_space_group_name_H-M_alt 'R 3 m'
_space_group_IT_number 160
_space_group_name_Hall 'R 3 -2"'
_cell_length_a 2.8791
_cell_length_b 2.8791
_cell_length_c 20.0925
_cell_angle_alpha 90.00
_cell_angle_beta 90.00
_cell_angle_gamma 120.00
loop_
_atom_site_label
_atom_site_type_symbol
_atom_site_fract_x
_atom_site_fract_y
_atom_site_fract_z
Co1 Co 0.0000 0.0000 0.0000
Hg1 Hg 0.0000 0.0000 0.7807
W1 W 0.0000 0.0000 0.5747
```

Values from the calculation:
Volume in Å³/cell: 144.24
Mass density in g/cm3: 15.3


#3
DFT (PBE-GGA) results for a geometry-optimized CoHgW structure.

CIF file:
```
data_CoHgW
_space_group_name_H-M_alt 'P 1 21/m 1'
_space_group_IT_number 11
_cell_length_a 2.839
_cell_length_b 2.830
_cell_length_c 12.176
_cell_angle_alpha 90.00
_cell_angle_beta 94.32
_cell_angle_gamma 90.00
loop_
_space_group_symop_operation_xyz
'x,y,z'
'-x,-y,-z'
'-x,y+1/2,-z'
'x,-y+1/2,z'
loop_
_atom_site_label
_atom_site_type_symbol
_atom_site_fract_x
_atom_site_fract_y
_atom_site_fract_z
Co1 Co 0.176 0.250 0.281
Hg1 Hg 0.383 0.250 0.882
W1 W 0.281 0.250 0.589
```

Values from the calculation:
Volume in Å³/cell: 97.54
Mass density in g/cm3: 15.1


#4
DFT (PBE-GGA) results for a geometry-optimized CoHgW structure.

CIF file:
```
data_CoHgW
_space_group_name_H-M_alt 'P 3 m 1'
_space_group_IT_number 156
_cell_length_a 2.8566
_cell_length_b 2.8566
_cell_length_c 6.8480
_cell_angle_alpha 90.00
_cell_angle_beta 90.00
_cell_angle_gamma 120.00
loop_
_space_group_symop_operation_xyz
'x,y,z'
'-y,x-y,z'
'-x+y,-x,z'
'-y,-x,z'
'-x+y,y,z'
'x,x-y,z'
loop_
_atom_site_label
_atom_site_type_symbol
_atom_site_fract_x
_atom_site_fract_y
_atom_site_fract_z
Co1 Co 0.0000 0.0000 0.0000
Hg1 Hg 0.6667 0.3333 0.6624
W1 W 0.3333 0.6667 0.2797
```

Values from the calculation:
Volume in Å³/cell: 48.39
Mass density in g/cm3: 15.2


Need the numbers? Relative energies in meV per atom: #1 134; #2 260; #3 0; #4 272.


#1
DFT (PBE-GGA) results for a geometry-optimized CoHg2W structure.

CIF file:
```
data_CoHg2W
_space_group_name_H-M_alt 'P 4/m m m'
_space_group_IT_number 123
_space_group_name_Hall '-P 4 2'
_cell_length_a 4.055
_cell_length_b 4.055
_cell_length_c 4.199
_cell_angle_alpha 90.00
_cell_angle_beta 90.00
_cell_angle_gamma 90.00
loop_
_atom_site_label
_atom_site_type_symbol
_atom_site_fract_x
_atom_site_fract_y
_atom_site_fract_z
Co1 Co 0.000 0.000 0.000
Hg1 Hg 0.000 0.500 0.500
W1 W 0.500 0.500 0.000
```

Values from the calculation:
Volume in Å³/cell: 69.04
Mass density in g/cm3: 15.5


#2
DFT (PBE-GGA) results for a geometry-optimized CoHg2W structure.

CIF file:
```
data_CoHg2W
_space_group_name_H-M_alt 'P 1 2/m 1'
_space_group_IT_number 10
_cell_length_a 2.801
_cell_length_b 4.545
_cell_length_c 5.582
_cell_angle_alpha 90.00
_cell_angle_beta 103.03
_cell_angle_gamma 90.00
loop_
_space_group_symop_operation_xyz
'x,y,z'
'-x,-y,-z'
'-x,y,-z'
'x,-y,z'
loop_
_atom_site_label
_atom_site_type_symbol
_atom_site_fract_x
_atom_site_fract_y
_atom_site_fract_z
Co1 Co 0.000 0.000 0.000
Hg1 Hg 0.161 0.500 0.757
W1 W 0.500 0.000 0.500
```

Values from the calculation:
Volume in Å³/cell: 69.23
Mass density in g/cm3: 15.4


Need the numbers? Relative energies in meV per atom: #1 17; #2 0.


#1
DFT (PBE-GGA) results for a geometry-optimized CoHg2W structure.

CIF file:
```
data_CoHg2W
_space_group_name_H-M_alt 'I 4/m m m'
_space_group_IT_number 139
_space_group_name_Hall '-I 4 2'
_cell_length_a 4.058
_cell_length_b 4.058
_cell_length_c 8.382
_cell_angle_alpha 90.00
_cell_angle_beta 90.00
_cell_angle_gamma 90.00
loop_
_atom_site_label
_atom_site_type_symbol
_atom_site_fract_x
_atom_site_fract_y
_atom_site_fract_z
Co1 Co 0.000 0.000 0.000
Hg1 Hg 0.000 0.500 0.250
W1 W 0.000 0.000 0.500
```

Values from the calculation:
Volume in Å³/cell: 138.05
Mass density in g/cm3: 15.5


#2
DFT (PBE-GGA) results for a geometry-optimized CoHg2W structure.

CIF file:
```
data_CoHg2W
_space_group_name_H-M_alt 'I -4 2 d'
_space_group_IT_number 122
_space_group_name_Hall 'I -4 2bw'
_cell_length_a 7.346
_cell_length_b 7.346
_cell_length_c 5.504
_cell_angle_alpha 90.00
_cell_angle_beta 90.00
_cell_angle_gamma 90.00
loop_
_atom_site_label
_atom_site_type_symbol
_atom_site_fract_x
_atom_site_fract_y
_atom_site_fract_z
Co1 Co 0.000 0.000 0.000
Hg1 Hg 0.227 0.250 0.125
W1 W 0.000 0.000 0.500
```

Values from the calculation:
Volume in Å³/cell: 297.03
Mass density in g/cm3: 14.4


Need the numbers? Relative energies in meV per atom: #1 0; #2 306.


#1
DFT (PBE-GGA) results for a geometry-optimized CoHg2W structure.

CIF file:
```
data_CoHg2W
_space_group_name_H-M_alt 'P m m m'
_space_group_IT_number 47
_cell_length_a 2.951
_cell_length_b 4.850
_cell_length_c 4.883
_cell_angle_alpha 90.00
_cell_angle_beta 90.00
_cell_angle_gamma 90.00
loop_
_space_group_symop_operation_xyz
'x,y,z'
'-x,-y,-z'
'-x,-y,z'
'x,y,-z'
'x,-y,-z'
'-x,y,z'
'-x,y,-z'
'x,-y,z'
loop_
_atom_site_label
_atom_site_type_symbol
_atom_site_fract_x
_atom_site_fract_y
_atom_site_fract_z
Co1 Co 0.000 0.000 0.000
Hg1 Hg 0.000 0.500 0.500
Hg2 Hg 0.500 0.000 0.500
W1 W 0.500 0.500 0.000
```

Values from the calculation:
Volume in Å³/cell: 69.87
Mass density in g/cm3: 15.3


#2
DFT (PBE-GGA) results for a geometry-optimized CoHg2W structure.

CIF file:
```
data_CoHg2W
_space_group_name_H-M_alt 'R -3 m'
_space_group_IT_number 166
_space_group_name_Hall '-R 3 2"'
_cell_length_a 2.9439
_cell_length_b 2.9439
_cell_length_c 27.6954
_cell_angle_alpha 90.00
_cell_angle_beta 90.00
_cell_angle_gamma 120.00
loop_
_atom_site_label
_atom_site_type_symbol
_atom_site_fract_x
_atom_site_fract_y
_atom_site_fract_z
Co1 Co 0.0000 0.0000 0.0000
Hg1 Hg 0.0000 0.0000 0.2548
W1 W 0.0000 0.0000 0.5000
```

Values from the calculation:
Volume in Å³/cell: 207.86
Mass density in g/cm3: 15.4


#3
DFT (PBE-GGA) results for a geometry-optimized CoHg2W structure.

CIF file:
```
data_CoHg2W
_space_group_name_H-M_alt 'I -4 m 2'
_space_group_IT_number 119
_space_group_name_Hall 'I -4 -2'
_cell_length_a 4.149
_cell_length_b 4.149
_cell_length_c 7.902
_cell_angle_alpha 90.00
_cell_angle_beta 90.00
_cell_angle_gamma 90.00
loop_
_atom_site_label
_atom_site_type_symbol
_atom_site_fract_x
_atom_site_fract_y
_atom_site_fract_z
Co1 Co 0.000 0.000 0.000
Hg1 Hg 0.000 0.000 0.500
Hg2 Hg 0.000 0.500 0.750
W1 W 0.000 0.500 0.250
```

Values from the calculation:
Volume in Å³/cell: 136.04
Mass density in g/cm3: 15.7


#4
DFT (PBE-GGA) results for a geometry-optimized CoHg2W structure.

CIF file:
```
data_CoHg2W
_space_group_name_H-M_alt 'C 1 m 1'
_space_group_IT_number 8
_cell_length_a 5.084
_cell_length_b 2.914
_cell_length_c 9.804
_cell_angle_alpha 90.00
_cell_angle_beta 100.80
_cell_angle_gamma 90.00
loop_
_space_group_symop_operation_xyz
'x,y,z'
'x,-y,z'
'x+1/2,y+1/2,z'
'x+1/2,-y+1/2,z'
loop_
_atom_site_label
_atom_site_type_symbol
_atom_site_fract_x
_atom_site_fract_y
_atom_site_fract_z
Co1 Co 0.000 0.000 0.000
Hg1 Hg 0.167 0.000 0.539
Hg2 Hg 0.418 0.000 0.237
W1 W 0.100 0.500 0.807
```

Values from the calculation:
Volume in Å³/cell: 142.69
Mass density in g/cm3: 15.0


Need the numbers? Relative energies in meV per atom: #1 403; #2 253; #3 427; #4 0.


#1
DFT (PBE-GGA) results for a geometry-optimized CoHg2W structure.

CIF file:
```
data_CoHg2W
_space_group_name_H-M_alt 'C 1 2/m 1'
_space_group_IT_number 12
_cell_length_a 9.529
_cell_length_b 2.901
_cell_length_c 5.112
_cell_angle_alpha 90.00
_cell_angle_beta 102.13
_cell_angle_gamma 90.00
loop_
_space_group_symop_operation_xyz
'x,y,z'
'-x,-y,-z'
'-x,y,-z'
'x,-y,z'
'x+1/2,y+1/2,z'
'-x+1/2,-y+1/2,-z'
'-x+1/2,y+1/2,-z'
'x+1/2,-y+1/2,z'
loop_
_atom_site_label
_atom_site_type_symbol
_atom_site_fract_x
_atom_site_fract_y
_atom_site_fract_z
Co1 Co 0.000 0.000 0.000
Hg1 Hg 0.242 0.500 0.242
W1 W 0.000 0.500 0.500
```

Values from the calculation:
Volume in Å³/cell: 138.15
Mass density in g/cm3: 15.5


#2
DFT (PBE-GGA) results for a geometry-optimized CoHg2W structure.

CIF file:
```
data_CoHg2W
_space_group_name_H-M_alt 'F m -3 m'
_space_group_IT_number 225
_space_group_name_Hall '-F 4 2 3'
_cell_length_a 6.487
_cell_length_b 6.487
_cell_length_c 6.487
_cell_angle_alpha 90.00
_cell_angle_beta 90.00
_cell_angle_gamma 90.00
loop_
_atom_site_label
_atom_site_type_symbol
_atom_site_fract_x
_atom_site_fract_y
_atom_site_fract_z
Co1 Co 0.000 0.000 0.000
Hg1 Hg 0.250 0.250 0.250
W1 W 0.000 0.000 0.500
```

Values from the calculation:
Volume in Å³/cell: 272.94
Mass density in g/cm3: 15.7


#3
DFT (PBE-GGA) results for a geometry-optimized CoHg2W structure.

CIF file:
```
data_CoHg2W
_space_group_name_H-M_alt 'P 4 m m'
_space_group_IT_number 99
_cell_length_a 2.920
_cell_length_b 2.920
_cell_length_c 8.215
_cell_angle_alpha 90.00
_cell_angle_beta 90.00
_cell_angle_gamma 90.00
loop_
_space_group_symop_operation_xyz
'x,y,z'
'-y,x,z'
'-x,-y,z'
'y,-x,z'
'-x,y,z'
'y,x,z'
'x,-y,z'
'-y,-x,z'
loop_
_atom_site_label
_atom_site_type_symbol
_atom_site_fract_x
_atom_site_fract_y
_atom_site_fract_z
Co1 Co 0.000 0.000 0.000
Hg1 Hg 0.000 0.000 0.554
Hg2 Hg 0.500 0.500 0.238
W1 W 0.500 0.500 0.826
```

Values from the calculation:
Volume in Å³/cell: 70.04
Mass density in g/cm3: 15.3


Need the numbers? Relative energies in meV per atom: #1 424; #2 587; #3 0.


#1
DFT (PBE-GGA) results for a geometry-optimized CoHg2W structure.

CIF file:
```
data_CoHg2W
_space_group_name_H-M_alt 'C m m m'
_space_group_IT_number 65
_space_group_name_Hall '-C 2 2'
_cell_length_a 5.756
_cell_length_b 8.635
_cell_length_c 2.802
_cell_angle_alpha 90.00
_cell_angle_beta 90.00
_cell_angle_gamma 90.00
loop_
_atom_site_label
_atom_site_type_symbol
_atom_site_fract_x
_atom_site_fract_y
_atom_site_fract_z
Co1 Co 0.000 0.000 0.000
Hg1 Hg 0.250 0.250 0.500
W1 W 0.000 0.500 0.000
```

Values from the calculation:
Volume in Å³/cell: 139.28
Mass density in g/cm3: 15.4


#2
DFT (PBE-GGA) results for a geometry-optimized CoHg2W structure.

CIF file:
```
data_CoHg2W
_space_group_name_H-M_alt 'I m m m'
_space_group_IT_number 71
_space_group_name_Hall '-I 2 2'
_cell_length_a 2.914
_cell_length_b 4.857
_cell_length_c 9.678
_cell_angle_alpha 90.00
_cell_angle_beta 90.00
_cell_angle_gamma 90.00
loop_
_atom_site_label
_atom_site_type_symbol
_atom_site_fract_x
_atom_site_fract_y
_atom_site_fract_z
Co1 Co 0.000 0.000 0.000
Hg1 Hg 0.000 0.500 0.270
W1 W 0.000 0.000 0.500
```

Values from the calculation:
Volume in Å³/cell: 136.96
Mass density in g/cm3: 15.6


Need the numbers? Relative energies in meV per atom: #1 0; #2 28.